Material: PICl3
Method: DFT, PBE
State: relaxed

Unit cell a=6.593 b=9.535 c=7.567 alpha=90.00 beta=115.62 gamma=90.00
Space group P2_1/m (No. 11)
Inequivalent atoms, fractional coordinates:
P1 0.109 0.250 0.355 [2 per cell]
I1 0.362 0.250 0.742 [2 per cell]
Cl1 0.232 0.082 0.264 [4 per cell]
Cl2 0.241 0.750 0.860 [2 per cell]

Values from the calculation:
- ΔE_f (raw) (eV/atom) = -0.4483
- DOS at the Fermi energy (states/eV/f.u.) = 0.7